# 1
The following is a PBE-GGA calculation of a relaxed structure of TaHIN2, from Alexandria via LeMat-Bulk.

```
TaHIN2
1.0
4.179 0.000 0.000
0.000 4.179 0.000
0.000 0.000 3.259
I Ta H N
1 1 1 2
direct
0.000 0.000 0.500
0.500 0.500 0.500
0.000 0.000 0.000
0.500 0.000 0.000
0.000 0.500 0.000
```

**Magnetization**: 0.0 Bohr magnetons per cell
**Excess energy over the best structure of this formula in the dataset**: 1243 meV per atom


# 2
The following is a PBE-GGA calculation of a relaxed structure of TcHI2N, from Alexandria via LeMat-Bulk.

```
TcHI2N
1.0
5.230 0.000 0.000
0.000 5.230 0.000
0.000 0.000 3.073
N Tc I H
1 1 2 1
direct
0.000 0.000 0.500
0.500 0.500 0.500
0.000 0.500 0.000
0.500 0.000 0.000
0.000 0.000 0.000
```

**Magnetization**: 3.4 Bohr magnetons per cell
**Excess energy over the best structure of this formula in the dataset**: 868 meV per atom


# 3
The following is a PBE-GGA calculation of a relaxed structure of TcHI2N, from Alexandria via LeMat-Bulk.

```
TcHI2N
1.0
5.602 0.000 0.000
0.000 5.602 0.000
0.000 0.000 3.742
I H N Tc
2 1 1 1
direct
0.500 0.000 0.000
0.000 0.500 0.000
0.500 0.500 0.500
0.000 0.000 0.500
0.000 0.000 0.000
```

**Magnetization**: 0.0 Bohr magnetons per cell
**Excess energy over the best structure of this formula in the dataset**: 0 meV per atom


# 4
The following is a PBE-GGA calculation of a relaxed structure of TiHIN2, from Alexandria via LeMat-Bulk.

```
TiHIN2
1.0
4.158 0.000 0.000
0.000 4.158 0.000
0.000 0.000 3.319
N Ti H I
2 1 1 1
direct
0.000 0.500 0.000
0.500 0.000 0.000
0.500 0.500 0.500
0.000 0.000 0.000
0.000 0.000 0.500
```

**Magnetization**: 0.0 Bohr magnetons per cell
**Excess energy over the best structure of this formula in the dataset**: 958 meV per atom


# 5
The following is a PBE-GGA calculation of a relaxed structure of TiHIN2, from Alexandria via LeMat-Bulk.

```
TiHIN2
1.0
-0.413 3.587 -1.200
-2.038 -1.228 -2.970
-5.069 0.510 3.267
Ti N I H
1 2 1 1
direct
0.000 0.000 0.000
0.000 0.500 0.000
0.500 0.000 0.000
0.000 0.000 0.500
0.500 0.500 0.500
```

**Magnetization**: 0.1 Bohr magnetons per cell
**Excess energy over the best structure of this formula in the dataset**: 0 meV per atom


# 6
The following is a PBE-GGA calculation of a relaxed structure of TlH6I2N2, from Alexandria via LeMat-Bulk.

```
TlH6I2N2
1.0
-1.494 -6.159 1.371
5.107 -4.412 3.139
-4.985 5.262 3.326
H Tl N I
6 1 2 2
direct
0.203 0.600 0.561
0.177 0.616 0.767
0.567 0.408 0.254
0.797 0.400 0.439
0.823 0.384 0.233
0.433 0.592 0.746
0.500 0.000 0.500
0.290 0.531 0.657
0.710 0.469 0.343
0.002 0.756 0.243
0.998 0.244 0.757
```

**Calculated total energy**: -4.1992 eV/atom
**Magnetization**: 0.0 Bohr magnetons per cell


The highest magnetization belongs to which entry? number 2


Please write out number 2 again, unchanged.
The following is a PBE-GGA calculation of a relaxed structure of TcHI2N, from Alexandria via LeMat-Bulk.

```
TcHI2N
1.0
5.230 0.000 0.000
0.000 5.230 0.000
0.000 0.000 3.073
N Tc I H
1 1 2 1
direct
0.000 0.000 0.500
0.500 0.500 0.500
0.000 0.500 0.000
0.500 0.000 0.000
0.000 0.000 0.000
```

**Magnetization**: 3.4 Bohr magnetons per cell
**Excess energy over the best structure of this formula in the dataset**: 868 meV per atom